VASP calculation (PBE-GGA) on an optimized crystal structure of AgWAu2.

Computed properties:
Its formation energy is 2.47 eV per formula unit. For the total moment, the calculation gives 0.202 μB per atom. The calculation puts the final energy at -39.78 eV per cell.

a = 4.195 Å, b = 4.195 Å, c = 7.823 Å
α = 90.00°, β = 90.00°, γ = 90.00°
Space group I-4m2 (No. 119)
Unique sites:
Ag (0.000, 0.000, 0.000) [2 per cell]
W (0.000, 0.500, 0.250) [2 per cell]
Au (0.000, 0.000, 0.500) [2 per cell]
Au (0.000, 0.500, 0.750) [2 per cell]